No. 1
A relaxed Na2LiZn4Ge3 crystal. Source: Alexandria, functional PBE.

Cell: 4.1863 4.1863 11.0834 Å, 90.00 90.00 90.00°
Positions (direct):
Na: 0.0000 0.5000 0.2424
Na: 0.5000 0.0000 0.7576
Li: 0.0000 0.0000 0.5000
Zn: 0.0000 0.0000 0.0000
Zn: 0.0000 0.5000 0.6396
Zn: 0.5000 0.0000 0.3604
Zn: 0.5000 0.5000 0.0000
Ge: 0.0000 0.5000 0.8618
Ge: 0.5000 0.0000 0.1382
Ge: 0.5000 0.5000 0.5000

Calculated values
The value obtained for the calculated density is 4.6 g/cm3. As for the energy: -2.4452 eV per atom. Its symmetry is P-4m2.


No. 2
A relaxed Nd3Ho4Bi4 crystal. Source: Alexandria, functional PBE.

Cell: 18.1879 18.1879 18.1879 Å, 166.20 165.40 20.15°
Positions (direct):
Nd: 0.0000 0.0000 0.0000
Nd: 0.3439 0.8439 0.5000
Nd: 0.6561 0.1561 0.5000
Ho: 0.0974 0.5974 0.5000
Ho: 0.2504 0.2504 0.0000
Ho: 0.7496 0.7496 0.0000
Ho: 0.9026 0.4026 0.5000
Bi: 0.1840 0.6840 0.5000
Bi: 0.4556 0.4556 0.0000
Bi: 0.5444 0.5444 0.0000
Bi: 0.8160 0.3160 0.5000

Calculated values
The value obtained for the calculated density is 8.8 g/cm3. As for the energy: -4.8095 eV per atom. Its symmetry is Immm.